# 1
Below is an optimized crystal structure of Ho7SiBr12, with properties calculated at the GGA-PBE level.

Cell lengths 9.1033, 9.1033, 9.1033 Å; angles 107.78, 107.78, 107.78 degrees
Last column: nearest neighbours and their distance in Å.
Element x y z (fractional)
Ho1 0.0000 0.0000 0.0000  6 Br 2.84
Ho2 0.1800 0.3937 0.4678  1 Si 2.66, 4 Br 2.87-2.93
Ho3 0.3937 0.4678 0.1800  1 Si 2.66, 4 Br 2.87-2.93
Ho4 0.4678 0.1800 0.3937  1 Si 2.66, 4 Br 2.87-2.93
Ho5 0.5322 0.8200 0.6063  1 Si 2.66, 4 Br 2.87-2.93
Ho6 0.6063 0.5322 0.8200  1 Si 2.66, 4 Br 2.87-2.93
Ho7 0.8200 0.6063 0.5322  1 Si 2.66, 4 Br 2.87-2.93
Si1 0.5000 0.5000 0.5000  6 Ho 2.66
Br1 0.0317 0.3399 0.1114  3 Ho 2.84-2.93
Br2 0.1114 0.0317 0.3399  3 Ho 2.84-2.93
Br3 0.1866 0.7274 0.5772  3 Ho 2.87-3.03
Br4 0.2726 0.4228 0.8134  3 Ho 2.87-3.03
Br5 0.3399 0.1114 0.0317  3 Ho 2.84-2.93
Br6 0.4228 0.8134 0.2726  3 Ho 2.87-3.03
Br7 0.5772 0.1866 0.7274  3 Ho 2.87-3.03
Br8 0.6601 0.8886 0.9683  3 Ho 2.84-2.93
Br9 0.7274 0.5772 0.1866  3 Ho 2.87-3.03
Br10 0.8134 0.2726 0.4228  3 Ho 2.87-3.03
Br11 0.8886 0.9683 0.6601  3 Ho 2.84-2.93
Br12 0.9683 0.6601 0.8886  3 Ho 2.84-2.93

Computed properties:
E_form (uncorrected) in meV per atom: -1589
Total moment in μB/atom: 0.000


# 2
Below is an optimized crystal structure of Ti2Hg2Mo, with properties calculated at the GGA-PBE level.

Cell lengths 7.7194, 7.7194, 3.1212 Å; angles 90.00, 90.00, 90.00 degrees
Last column: nearest neighbours and their distance in Å.
Element x y z (fractional)
Ti1 0.1726 0.3274 0.0000  6 Hg 2.66-2.83
Ti2 0.3274 0.8274 0.0000  6 Hg 2.66-2.83
Ti3 0.6726 0.1726 0.0000  6 Hg 2.66-2.83
Ti4 0.8274 0.6726 0.0000  6 Hg 2.66-2.83
Hg1 0.1304 0.6304 0.5000  6 Ti 2.66-2.83, 1 Hg 2.85
Hg2 0.3696 0.1304 0.5000  6 Ti 2.66-2.83, 1 Hg 2.85
Hg3 0.6304 0.8696 0.5000  6 Ti 2.66-2.83, 1 Hg 2.85
Hg4 0.8696 0.3696 0.5000  6 Ti 2.66-2.83, 1 Hg 2.85
Mo1 0.0000 0.0000 0.5000  4 Hg 3.03, 2 Mo 3.12, 8 Ti 3.26
Mo2 0.5000 0.5000 0.5000  4 Hg 3.03, 2 Mo 3.12, 8 Ti 3.26

Computed properties:
Calculated formation energy in eV per atom: 0.40
Relative energy among the computed polymorphs in meV/atom: 0
Total moment in μB/atom: 0.260


# 3
Below is an optimized crystal structure of La3HgO, with properties calculated at the GGA-PBE level.

Cell lengths 8.9983, 8.9983, 8.9770 Å; angles 92.83, 92.83, 23.59 degrees
Last column: nearest neighbours and their distance in Å.
Element x y z (fractional)
La1 0.0104 0.0104 0.2162  2 O 2.48
La2 0.1505 0.1505 0.5994  2 O 2.54
La3 0.3490 0.3490 0.0292  1 O 2.48
La4 0.6510 0.6510 0.9708  1 O 2.48
La5 0.8495 0.8495 0.4006  2 O 2.54
La6 0.9896 0.9896 0.7838  2 O 2.48
Hg1 0.2040 0.2040 0.2641  7 La 3.20-3.42
Hg2 0.7960 0.7960 0.7359  7 La 3.20-3.42
O1 0.4217 0.4217 0.2733  5 La 2.48-2.54
O2 0.5783 0.5783 0.7267  5 La 2.48-2.54

Computed properties:
Relative energy among the computed polymorphs in meV/atom: 180
E_form (uncorrected) in meV per atom: -1184
Total moment in μB/atom: 0.000